Here is a geometry-optimized CsBe2RuCl structure from Alexandria. Energies are from PBE.

Geometry as CIF:
```
data_CsBe2RuCl
_space_group_name_H-M_alt 'P 4/m m m'
_space_group_IT_number 123
_space_group_name_Hall '-P 4 2'
_cell_length_a 4.453
_cell_length_b 4.453
_cell_length_c 5.938
_cell_angle_alpha 90.00
_cell_angle_beta 90.00
_cell_angle_gamma 90.00
loop_
_atom_site_label
_atom_site_fract_x
_atom_site_fract_y
_atom_site_fract_z
_atom_site_occupancy
Cs1 0.000 0.000 0.000 1
Be1 0.000 0.500 0.500 1
Ru1 0.000 0.000 0.500 1
Cl1 0.500 0.500 0.000 1
```

## Properties
The crystal system is tetragonal. The formation energy (no corrections) comes out at 0.5526 eV per atom. The magnetic moment is 0.0000 μB per atom.